TaAg2Ir | GGA-PBE | relaxed

Output
ΔH_f (0 K) = 0.10 eV per atom
V = 16.8 Å³/atom
Total moment = 0.000 μB/f.u.
D(E_F) = 2.44 states/eV/f.u.

a b c (Å): 5.209 5.209 4.619
angles (deg): 100.61 100.61 33.15
Element x y z (fractional)
Ta (0.000, 0.000, 0.000)
Ag (0.247, 0.247, 0.749)
Ag (0.753, 0.753, 0.251)
Ir (0.500, 0.500, 0.500)

***

Tl2ZnCl | GGA-PBE | relaxed

Output
Energy relative to the elements, uncorrected = -0.92 eV per formula unit
V = 27.8 Å³/atom
Total moment = 0.000 μB/f.u.
D(E_F) = 1.11 states/eV/f.u.

a b c (Å): 5.769 5.769 5.769
angles (deg): 131.47 127.50 74.27
Element x y z (fractional)
Tl (0.230, 0.230, 0.000)
Tl (0.770, 0.770, 0.000)
Zn (0.000, 0.500, 0.500)
Cl (0.500, 0.000, 0.500)

***

La2ZnGa4Ag3 | GGA-PBE | relaxed

Output
ΔH_f (0 K) = -0.41 eV per atom
V = 21.3 Å³/atom
Total moment = 0.000 μB/f.u.
D(E_F) = 5.98 states/eV/f.u.

a b c (Å): 4.448 4.448 10.755
angles (deg): 90.00 90.00 90.00
Element x y z (fractional)
La (0.000, 0.500, 0.245)
La (0.500, 0.000, 0.755)
Zn (0.500, 0.500, 0.000)
Ga (0.000, 0.000, 0.500)
Ga (0.000, 0.500, 0.869)
Ga (0.500, 0.000, 0.131)
Ga (0.500, 0.500, 0.500)
Ag (0.000, 0.000, 0.000)
Ag (0.000, 0.500, 0.632)
Ag (0.500, 0.000, 0.368)

***

CsTe | GGA-PBE | relaxed

Output
Energy relative to the elements, uncorrected = -1.68 eV per formula unit
V = 53.7 Å³/atom
Total moment = 0.000 μB/f.u.

a b c (Å): 5.555 5.555 7.485
angles (deg): 105.14 105.14 89.44
Element x y z (fractional)
Cs (0.201, 0.201, 0.265)
Cs (0.799, 0.799, 0.735)
Te (0.350, 0.350, 0.826)
Te (0.650, 0.650, 0.174)

***

RbHfTlCl6 | GGA-PBE | relaxed

Output
Energy relative to the elements, uncorrected = -15.66 eV per formula unit
V = 34.8 Å³/atom
Total moment = 0.000 μB/f.u.
D(E_F) = 0.00 states/eV/f.u.

a b c (Å): 7.797 7.797 11.907
angles (deg): 90.00 90.00 120.00
Element x y z (fractional)
Rb (0.333, 0.667, 0.250)
Rb (0.667, 0.333, 0.750)
Hf (0.333, 0.667, 0.750)
Hf (0.667, 0.333, 0.250)
Tl (0.000, 0.000, 0.000)
Tl (0.000, 0.000, 0.500)
Cl (0.078, 0.405, 0.630)
Cl (0.078, 0.673, 0.870)
Cl (0.327, 0.405, 0.870)
Cl (0.327, 0.922, 0.630)
Cl (0.405, 0.078, 0.130)
Cl (0.405, 0.327, 0.370)
Cl (0.595, 0.673, 0.630)
Cl (0.595, 0.922, 0.870)
Cl (0.673, 0.078, 0.370)
Cl (0.673, 0.595, 0.130)
Cl (0.922, 0.327, 0.130)
Cl (0.922, 0.595, 0.370)

***

Y2HCBr | GGA-PBE | relaxed

Output
VASP energy = -4.24 eV/atom
V = 22.4 Å³/atom
Total moment = 0.000 μB/f.u.
D(E_F) = 2.70 states/eV/f.u.

a b c (Å): 5.267 5.267 4.037
angles (deg): 90.00 90.00 90.00
Element x y z (fractional)
Y (0.000, 0.500, 0.000)
Y (0.500, 0.000, 0.000)
H (0.000, 0.000, 0.500)
C (0.500, 0.500, 0.500)
Br (0.500, 0.500, 0.000)

***

Pu2InCuSe4 | GGA-PBE | relaxed

Output
Energy relative to the elements, uncorrected = -8.16 eV per formula unit
V = 26.3 Å³/atom
Total moment = 10.000 μB/f.u.
D(E_F) = 19.40 states/eV/f.u.

a b c (Å): 7.404 7.404 14.305
angles (deg): 90.00 90.00 147.56
Element x y z (fractional)
Pu (0.133, 0.867, 0.561)
Pu (0.133, 0.867, 0.939)
Pu (0.867, 0.133, 0.061)
Pu (0.867, 0.133, 0.439)
In (0.390, 0.610, 0.750)
In (0.610, 0.390, 0.250)
Cu (0.340, 0.660, 0.250)
Cu (0.660, 0.340, 0.750)
Se (0.065, 0.935, 0.750)
Se (0.235, 0.765, 0.113)
Se (0.235, 0.765, 0.387)
Se (0.500, 0.500, 0.000)
Se (0.500, 0.500, 0.500)
Se (0.765, 0.235, 0.613)
Se (0.765, 0.235, 0.887)
Se (0.935, 0.065, 0.250)

***

Th8AsSe4S3 | GGA-PBE | relaxed

Output
Energy relative to the elements, uncorrected = -26.15 eV per formula unit
V = 25.3 Å³/atom
Total moment = 0.000 μB/f.u.
D(E_F) = 14.66 states/eV/f.u.

a b c (Å): 8.402 8.402 8.402
angles (deg): 58.56 58.56 58.56
Element x y z (fractional)
Th (0.238, 0.749, 0.749)
Th (0.244, 0.244, 0.244)
Th (0.251, 0.251, 0.762)
Th (0.251, 0.762, 0.251)
Th (0.749, 0.238, 0.749)
Th (0.749, 0.749, 0.238)
Th (0.756, 0.756, 0.756)
Th (0.762, 0.251, 0.251)
As (0.500, 0.500, 0.500)
Se (0.000, 0.000, 0.000)
Se (0.000, 0.500, 0.500)
Se (0.500, 0.000, 0.500)
Se (0.500, 0.500, 0.000)
S (0.000, 0.000, 0.500)
S (0.000, 0.500, 0.000)
S (0.500, 0.000, 0.000)

***

B5C7 | GGA-PBE | relaxed

Output
ΔH_f (0 K) = 0.38 eV per atom
V = 7.8 Å³/atom
Total moment = 0.000 μB/f.u.
D(E_F) = 1.65 states/eV/f.u.

a b c (Å): 4.609 4.609 8.283
angles (deg): 100.87 100.87 33.04
Element x y z (fractional)
B (0.000, 0.000, 0.000)
B (0.035, 0.035, 0.359)
B (0.294, 0.294, 0.147)
B (0.729, 0.729, 0.909)
B (0.870, 0.870, 0.456)
C (0.174, 0.174, 0.970)
C (0.375, 0.375, 0.554)
C (0.379, 0.379, 0.724)
C (0.471, 0.471, 0.123)
C (0.590, 0.590, 0.285)
C (0.761, 0.761, 0.270)
C (0.872, 0.872, 0.813)

***

CeVC | GGA-PBE | relaxed

Output
ΔH_f (0 K) = 0.09 eV per atom
V = 15.3 Å³/atom
Total moment = 0.000 μB/f.u.
D(E_F) = 3.67 states/eV/f.u.

a b c (Å): 3.609 3.609 4.074
angles (deg): 90.00 90.00 120.00
Element x y z (fractional)
Ce (0.000, 0.000, 0.000)
V (0.333, 0.667, 0.500)
C (0.667, 0.333, 0.500)

***

La6CeNd2Ho | GGA-PBE | relaxed

Output
ΔH_f (0 K) = 0.20 eV per atom
V = 35.8 Å³/atom
Total moment = 0.836 μB/f.u.
D(E_F) = 21.98 states/eV/f.u.

a b c (Å): 6.868 6.868 10.013
angles (deg): 115.81 115.81 61.43
Element x y z (fractional)
La (0.039, 0.594, 0.183)
La (0.152, 0.152, 0.423)
La (0.406, 0.961, 0.817)
La (0.594, 0.039, 0.183)
La (0.848, 0.848, 0.577)
La (0.961, 0.406, 0.817)
Ce (0.000, 0.000, 0.000)
Nd (0.440, 0.440, 0.804)
Nd (0.560, 0.560, 0.196)
Ho (0.500, 0.500, 0.500)

***

KPa2OsN4 | GGA-PBE | relaxed

Output
Energy relative to the elements, uncorrected = -4.12 eV per formula unit
V = 17.2 Å³/atom
Total moment = 0.000 μB/f.u.
D(E_F) = 5.26 states/eV/f.u.

a b c (Å): 5.866 5.866 5.866
angles (deg): 122.36 122.36 85.97
Element x y z (fractional)
K (0.000, 0.000, 0.000)
Pa (0.250, 0.750, 0.500)
Pa (0.750, 0.250, 0.500)
Os (0.500, 0.500, 0.000)
N (0.157, 0.491, 0.000)
N (0.491, 0.157, 0.000)
N (0.509, 0.509, 0.666)
N (0.843, 0.843, 0.334)

***

total moment of number 10 (CeVC)? 0.000 μB/f.u.

***

What did the tenth record say?
CeVC | GGA-PBE | relaxed

Output
ΔH_f (0 K) = 0.09 eV per atom
V = 15.3 Å³/atom
Total moment = 0.000 μB/f.u.
D(E_F) = 3.67 states/eV/f.u.

a b c (Å): 3.609 3.609 4.074
angles (deg): 90.00 90.00 120.00
Element x y z (fractional)
Ce (0.000, 0.000, 0.000)
V (0.333, 0.667, 0.500)
C (0.667, 0.333, 0.500)